No. 1
Na4Si23 (PBE, optimized geometry); E = -260.00 eV per cell; calculated volume = 19.87 Å³/atom; formation energy from raw total energies = 0.000 eV per atom; spin magnetization = 0.0 μB per formula unit
1.0
10.237 0.000 0.000
0.000 10.237 0.000
0.000 0.000 10.237
Na Si
8 46
Direct
0.000 0.000 0.000
0.000 0.250 0.500
0.000 0.750 0.500
0.250 0.500 0.000
0.500 0.000 0.250
0.500 0.000 0.750
0.500 0.500 0.500
0.750 0.500 0.000
0.000 0.308 0.117
0.000 0.308 0.883
0.000 0.500 0.250
0.000 0.500 0.750
0.000 0.692 0.117
0.000 0.692 0.883
0.117 0.000 0.308
0.117 0.000 0.692
0.184 0.184 0.184
0.184 0.184 0.816
0.184 0.816 0.184
0.184 0.816 0.816
0.192 0.500 0.383
0.192 0.500 0.617
0.250 0.000 0.500
0.308 0.117 0.000
0.308 0.883 0.000
0.316 0.316 0.316
0.316 0.316 0.684
0.316 0.684 0.316
0.316 0.684 0.684
0.383 0.192 0.500
0.383 0.808 0.500
0.500 0.250 0.000
0.500 0.383 0.192
0.500 0.383 0.808
0.500 0.617 0.192
0.500 0.617 0.808
0.500 0.750 0.000
0.617 0.192 0.500
0.617 0.808 0.500
0.684 0.316 0.316
0.684 0.316 0.684
0.684 0.684 0.316
0.684 0.684 0.684
0.692 0.117 0.000
0.692 0.883 0.000
0.750 0.000 0.500
0.808 0.500 0.383
0.808 0.500 0.617
0.816 0.184 0.184
0.816 0.184 0.816
0.816 0.816 0.184
0.816 0.816 0.816
0.883 0.000 0.308
0.883 0.000 0.692



No. 2
Pa4As (PBE, optimized geometry); E = -40.33 eV per cell; energy relative to the elements = 460 meV/atom; calculated volume = 29.91 Å³/atom; spin magnetization = 0.0 μB per formula unit
1.0
5.308 0.000 0.000
0.000 5.308 0.000
0.000 0.000 5.308
Pa As
4 1
Direct
0.000 0.000 0.000
0.000 0.500 0.500
0.500 0.000 0.500
0.500 0.500 0.000
0.500 0.500 0.500



No. 3
CaMg2 (PBE, optimized geometry); E = -9.87 eV per cell; energy relative to the elements = 85 meV/atom; calculated volume = 29.53 Å³/atom; spin magnetization = 0.0 μB per formula unit
1.0
3.535 0.000 0.000
-1.767 3.061 0.000
0.000 0.000 16.372
Ca Mg
2 4
Direct
0.333 0.667 0.250
0.667 0.333 0.750
0.333 0.667 0.577
0.333 0.667 0.923
0.667 0.333 0.077
0.667 0.333 0.423



No. 4
Pr2SmScP4 (PBE, optimized geometry); E = -54.06 eV per cell; energy relative to the elements = -1476 meV/atom; calculated volume = 23.94 Å³/atom; spin magnetization = 0.0 μB per formula unit
1.0
7.050 0.000 0.000
0.000 4.084 0.000
-2.354 0.000 6.652
Pr Sm Sc P
2 1 1 4
Direct
0.000 0.000 0.000
0.000 0.500 0.500
0.500 0.000 0.500
0.500 0.500 0.000
0.263 0.500 0.245
0.269 0.000 0.765
0.731 0.000 0.235
0.737 0.500 0.755



No. 5
NaCrPd2 (PBE, optimized geometry); E = -79.34 eV per cell; energy relative to the elements = 373 meV/atom; calculated volume = 18.25 Å³/atom; spin magnetization = 3.8 μB per formula unit
1.0
7.214 0.000 0.000
0.000 7.214 0.000
0.000 0.000 5.612
Na Cr Pd
4 4 8
Direct
0.000 0.000 0.000
0.000 0.500 0.250
0.500 0.000 0.750
0.500 0.500 0.500
0.000 0.000 0.500
0.000 0.500 0.750
0.500 0.000 0.250
0.500 0.500 0.000
0.224 0.250 0.625
0.250 0.724 0.875
0.250 0.776 0.375
0.276 0.250 0.125
0.724 0.750 0.125
0.750 0.224 0.375
0.750 0.276 0.875
0.776 0.750 0.625



No. 6
Tb9PmHo2 (PBE, optimized geometry); E = -55.11 eV per cell; energy relative to the elements = 39 meV/atom; calculated volume = 32.13 Å³/atom; E above lowest polymorph = 20 meV per atom; spin magnetization = 0.0 μB per formula unit
1.0
11.263 0.000 0.000
-5.631 9.754 0.000
0.000 0.000 3.509
Tb Pm Ho
9 1 2
Direct
0.000 0.500 0.000
0.177 0.355 0.500
0.177 0.823 0.500
0.355 0.177 0.500
0.500 0.000 0.000
0.500 0.500 0.000
0.645 0.823 0.500
0.823 0.177 0.500
0.823 0.645 0.500
0.000 0.000 0.000
0.333 0.667 0.000
0.667 0.333 0.000



No. 7
Dy6Ho2Tm (PBE, optimized geometry); E = -80.46 eV per cell; energy relative to the elements = 112 meV/atom; calculated volume = 31.35 Å³/atom; E above lowest polymorph = 94 meV per atom; spin magnetization = 0.0 μB per formula unit
1.0
6.334 -7.062 0.000
6.334 7.062 0.000
-1.606 0.000 6.307
Dy Ho Tm
12 4 2
Direct
0.039 0.439 0.726
0.149 0.779 0.996
0.221 0.851 0.504
0.278 0.455 0.185
0.439 0.039 0.226
0.455 0.278 0.685
0.545 0.722 0.315
0.561 0.961 0.774
0.722 0.545 0.815
0.779 0.149 0.496
0.851 0.221 0.004
0.961 0.561 0.274
0.119 0.165 0.368
0.165 0.119 0.868
0.835 0.881 0.132
0.881 0.835 0.632
0.381 0.619 0.750
0.619 0.381 0.250



No. 8
KB (PBE, optimized geometry); E = -58.17 eV per cell; energy relative to the elements = 252 meV/atom; calculated volume = 28.35 Å³/atom; E above lowest polymorph = 7 meV per atom; spin magnetization = 0.1 μB per formula unit
1.0
11.929 0.000 0.000
0.000 11.929 0.000
0.000 0.000 3.188
K B
8 8
Direct
0.000 0.251 0.000
0.000 0.749 0.000
0.249 0.500 0.500
0.251 0.000 0.000
0.500 0.249 0.500
0.500 0.751 0.500
0.749 0.000 0.000
0.751 0.500 0.500
0.247 0.247 0.500
0.247 0.753 0.500
0.253 0.253 0.000
0.253 0.747 0.000
0.747 0.253 0.000
0.747 0.747 0.000
0.753 0.247 0.500
0.753 0.753 0.500